--- P ---
Crystalline Sc2Si2Ru at its relaxed geometry. Source: Alexandria, functional PBEsol.

Cell and atoms, written as POSCAR:
```
Sc2Si2Ru
1.0
6.365 0.000 0.000
0.000 6.365 0.000
0.000 0.000 3.973
Sc Si Ru
4 4 2
Direct
0.173 0.327 0.000
0.327 0.827 0.000
0.673 0.173 0.000
0.827 0.673 0.000
0.133 0.633 0.500
0.367 0.133 0.500
0.633 0.867 0.500
0.867 0.367 0.500
0.000 0.000 0.500
0.500 0.500 0.500
```

Values from the calculation:
* D(E_F): 0.55 states/eV per atom
* symmetry: P4/mbm (127)
* size of the total moment: 0.00 μB/cell

--- Q ---
Crystalline Sc2Si2Ru at its relaxed geometry. Source: Alexandria, functional PBEsol.

Cell and atoms, written as POSCAR:
```
Sc2Si2Ru
1.0
4.996 -2.019 0.000
4.996 2.019 0.000
-4.431 0.000 8.307
Sc Si Ru
4 4 2
Direct
0.006 0.006 0.177
0.183 0.183 0.608
0.817 0.817 0.392
0.994 0.994 0.823
0.361 0.361 0.935
0.488 0.488 0.622
0.512 0.512 0.378
0.639 0.639 0.065
0.271 0.271 0.129
0.729 0.729 0.871
```

Values from the calculation:
* D(E_F): 0.55 states/eV per atom
* symmetry: C2/m (12)
* size of the total moment: 0.00 μB/cell

Least stable of them? P.

--- P ---
Crystalline Sr2ScRu at its relaxed geometry. Source: Alexandria, functional PBEsol.

Cell and atoms, written as POSCAR:
```
Sr2ScRu
1.0
0.000 3.663 3.663
3.663 0.000 3.663
3.663 3.663 0.000
Sr Sc Ru
2 1 1
Direct
0.000 0.000 0.000
0.250 0.250 0.250
0.750 0.750 0.750
0.500 0.500 0.500
```

Values from the calculation:
* D(E_F): 1.12 states/eV per atom
* symmetry: F-43m (216)
* size of the total moment: 0.00 μB/cell

--- Q ---
Crystalline Sr2ScRu at its relaxed geometry. Source: Alexandria, functional PBEsol.

Cell and atoms, written as POSCAR:
```
Sr2ScRu
1.0
3.672 0.000 0.000
0.000 4.788 0.000
-1.279 0.000 5.987
Sr Sc Ru
2 1 1
Direct
0.104 0.000 0.277
0.896 0.000 0.723
0.500 0.500 0.000
0.500 0.500 0.500
```

Values from the calculation:
* D(E_F): 0.85 states/eV per atom
* symmetry: P2/m (10)
* size of the total moment: 0.00 μB/cell

Least stable of them? Q.

--- P ---
Crystalline ScTaRu2 at its relaxed geometry. Source: Alexandria, functional PBEsol.

Cell and atoms, written as POSCAR:
```
ScTaRu2
1.0
-1.578 2.157 4.620
1.578 -2.157 4.620
1.578 2.157 -4.620
Sc Ta Ru
1 1 2
Direct
0.000 0.000 0.000
0.264 0.764 0.500
0.498 0.498 0.000
0.754 0.254 0.500
```

Values from the calculation:
* D(E_F): 0.73 states/eV per atom
* symmetry: Imm2 (44)
* size of the total moment: 0.00 μB/cell

--- Q ---
Crystalline ScTaRu2 at its relaxed geometry. Source: Alexandria, functional PBEsol.

Cell and atoms, written as POSCAR:
```
ScTaRu2
1.0
0.000 3.141 3.141
3.141 0.000 3.141
3.141 3.141 0.000
Sc Ta Ru
1 1 2
Direct
0.000 0.000 0.000
0.500 0.500 0.500
0.250 0.250 0.250
0.750 0.750 0.750
```

Values from the calculation:
* D(E_F): 0.13 states/eV per atom
* symmetry: Fm-3m (225)
* size of the total moment: 0.00 μB/cell

--- R ---
Crystalline ScTaRu2 at its relaxed geometry. Source: Alexandria, functional PBEsol.

Cell and atoms, written as POSCAR:
```
ScTaRu2
1.0
4.450 0.000 0.000
0.000 4.450 0.000
0.000 0.000 3.134
Sc Ta Ru
1 1 2
Direct
0.000 0.000 0.000
0.500 0.500 0.000
0.000 0.500 0.500
0.500 0.000 0.500
```

Values from the calculation:
* D(E_F): 0.22 states/eV per atom
* symmetry: P4/mmm (123)
* size of the total moment: 0.00 μB/cell

Least stable of them? P.

--- P ---
Crystalline Sc2TaRu at its relaxed geometry. Source: Alexandria, functional PBEsol.

Cell and atoms, written as POSCAR:
```
Sc2TaRu
1.0
1.654 -2.418 0.000
1.654 2.418 0.000
0.000 0.000 8.904
Sc Ta Ru
2 1 1
Direct
0.000 0.000 0.219
0.000 0.000 0.781
0.500 0.500 0.500
0.500 0.500 0.000
```

Values from the calculation:
* D(E_F): 0.96 states/eV per atom
* symmetry: Cmmm (65)
* size of the total moment: 0.00 μB/cell

--- Q ---
Crystalline Sc2TaRu at its relaxed geometry. Source: Alexandria, functional PBEsol.

Cell and atoms, written as POSCAR:
```
Sc2TaRu
1.0
0.000 3.288 3.288
3.288 0.000 3.288
3.288 3.288 0.000
Sc Ta Ru
2 1 1
Direct
0.250 0.250 0.250
0.750 0.750 0.750
0.000 0.000 0.000
0.500 0.500 0.500
```

Values from the calculation:
* D(E_F): 1.24 states/eV per atom
* symmetry: Fm-3m (225)
* size of the total moment: 2.54 μB/cell

Least stable of them? Q.

--- P ---
Crystalline ScTe2Ru at its relaxed geometry. Source: Alexandria, functional PBEsol.

Cell and atoms, written as POSCAR:
```
ScTe2Ru
1.0
0.000 3.402 3.402
3.402 0.000 3.402
3.402 3.402 0.000
Sc Te Ru
1 2 1
Direct
0.000 0.000 0.000
0.250 0.250 0.250
0.750 0.750 0.750
0.500 0.500 0.500
```

Values from the calculation:
* D(E_F): 0.88 states/eV per atom
* symmetry: Fm-3m (225)
* size of the total moment: 0.00 μB/cell

--- Q ---
Crystalline ScTe2Ru at its relaxed geometry. Source: Alexandria, functional PBEsol.

Cell and atoms, written as POSCAR:
```
ScTe2Ru
1.0
1.636 0.945 9.342
-1.636 0.945 9.342
0.000 -1.889 9.342
Sc Te Ru
1 2 1
Direct
0.000 0.000 0.000
0.411 0.411 0.411
0.589 0.589 0.589
0.500 0.500 0.500
```

Values from the calculation:
* D(E_F): 0.77 states/eV per atom
* symmetry: R-3m (166)
* size of the total moment: 0.00 μB/cell

Least stable of them? Q.

--- P ---
Crystalline Sc3ZnRu at its relaxed geometry. Source: Alexandria, functional PBEsol.

Cell and atoms, written as POSCAR:
```
Sc3ZnRu
1.0
4.898 0.000 0.000
0.000 4.898 0.000
0.000 0.000 4.898
Sc Zn Ru
3 1 1
Direct
0.000 0.000 0.500
0.000 0.500 0.000
0.500 0.000 0.000
0.500 0.500 0.500
0.000 0.000 0.000
```

Values from the calculation:
* D(E_F): 0.69 states/eV per atom
* symmetry: Pm-3m (221)
* size of the total moment: 0.00 μB/cell

--- Q ---
Crystalline Sc3ZnRu at its relaxed geometry. Source: Alexandria, functional PBEsol.

Cell and atoms, written as POSCAR:
```
Sc3ZnRu
1.0
4.790 0.000 0.000
0.000 4.790 0.000
0.000 0.000 4.790
Sc Zn Ru
3 1 1
Direct
0.000 0.000 0.500
0.000 0.500 0.000
0.500 0.000 0.000
0.000 0.000 0.000
0.500 0.500 0.500
```

Values from the calculation:
* D(E_F): 0.96 states/eV per atom
* symmetry: Pm-3m (221)
* size of the total moment: 0.00 μB/cell

Least stable of them? Q.